Compound: NpAlGe2
Source: the Alexandria database
Functional: PBE-GGA
Structure: relaxed

a b c (Å): 4.3377 4.3377 4.0180
angles (deg): 90.00 90.00 90.00
Fractional coordinates of all 4 atoms:
Np  0.0000  0.0000  0.0000
Al  0.5000  0.5000  0.0000
Ge  0.0000  0.5000  0.5000
Ge  0.5000  0.0000  0.5000

Its density of states at the Fermi level is 7.90 states/eV/cell. The calculation puts the formation energy at -0.230 eV per atom. Its volume is 18.90 Å³/atom. The value obtained for the electronic total energy is -6.710 eV/atom.

---

Compound: SrLi3Pt
Source: the Alexandria database
Functional: PBE-GGA
Structure: relaxed

a b c (Å): 4.6572 4.6572 4.6572
angles (deg): 90.00 90.00 90.00
Fractional coordinates of all 5 atoms:
Sr  0.0000  0.0000  0.0000
Li  0.0000  0.0000  0.5000
Li  0.0000  0.5000  0.0000
Li  0.5000  0.0000  0.0000
Pt  0.5000  0.5000  0.5000

Its density of states at the Fermi level is 2.02 states/eV/cell. The calculation puts the formation energy at 1.118 eV per atom. Its volume is 20.20 Å³/atom. The value obtained for the electronic total energy is -1.575 eV/atom.

---

Compound: Tl2Sn2I
Source: the Alexandria database
Functional: PBE-GGA
Structure: relaxed

a b c (Å): 7.0813 7.0813 7.0813
angles (deg): 135.64 135.64 64.54
Fractional coordinates of all 5 atoms:
Tl  0.2500  0.7500  0.5000
Tl  0.7500  0.2500  0.5000
Sn  0.1201  0.1201  0.0000
Sn  0.8799  0.8799  0.0000
I  0.5000  0.5000  0.0000

Its density of states at the Fermi level is 5.11 states/eV/cell. Its volume is 34.23 Å³/atom. The value obtained for the electronic total energy is -2.785 eV/atom. As for the uncorrected formation energy: 0.36 eV/f.u.

---

Compound: FeReC3
Source: the Alexandria database
Functional: PBE-GGA
Structure: relaxed

a b c (Å): 3.9858 3.9858 3.9858
angles (deg): 90.00 90.00 90.00
Fractional coordinates of all 5 atoms:
Fe  0.0000  0.0000  0.0000
Re  0.5000  0.5000  0.5000
C  0.0000  0.5000  0.5000
C  0.5000  0.0000  0.5000
C  0.5000  0.5000  0.0000

Its density of states at the Fermi level is 8.35 states/eV/cell. The calculation puts the formation energy at 2.254 eV per atom. Its volume is 12.66 Å³/atom. The value obtained for the electronic total energy is -7.462 eV/atom.

---

Compound: LaHgAu3
Source: the Alexandria database
Functional: PBE-GGA
Structure: relaxed

a b c (Å): 5.1815 5.1815 5.1815
angles (deg): 90.00 90.00 90.00
Fractional coordinates of all 5 atoms:
La  0.0000  0.0000  0.0000
Hg  0.5000  0.5000  0.5000
Au  0.0000  0.5000  0.5000
Au  0.5000  0.0000  0.5000
Au  0.5000  0.5000  0.0000

Its density of states at the Fermi level is 3.65 states/eV/cell. The calculation puts the formation energy at 0.014 eV per atom. Its volume is 27.82 Å³/atom. The value obtained for the electronic total energy is -2.998 eV/atom.

---

Compound: KY2Cl
Source: the Alexandria database
Functional: PBE-GGA
Structure: relaxed

a b c (Å): 3.6168 3.6168 10.7104
angles (deg): 90.00 90.00 111.93
Fractional coordinates of all 4 atoms:
K  0.0000  0.0000  0.0000
Y  0.0000  0.0000  0.4195
Y  0.5000  0.5000  0.6647
Cl  0.5000  0.5000  0.2240

Its density of states at the Fermi level is 3.55 states/eV/cell. Its volume is 32.49 Å³/atom. The value obtained for the electronic total energy is -4.582 eV/atom. As for the uncorrected formation energy: -2.45 eV/f.u.

---

Question: Among the records above, which one has the lowest electronic total energy?
Answer: FeReC3

---

Question: Among the records above, which one has the highest electronic total energy?
Answer: SrLi3Pt

---

Question: Which value of electronic total energy does entry 2 give?
Answer: -1.575 eV/atom

---

Question: Number 6 is which compound?
Answer: KY2Cl